[1]
## Rb2PdBr2Cl2 (PBE)

Data for a geometry-optimized Rb2PdBr2Cl2 structure.

```
data_Rb2PdBr2Cl2
_chemical_formula_sum 'Rb2 Pd1 Br2 Cl2'
_space_group_name_H-M_alt 'P 1'
_space_group_IT_number 1
_cell_length_a 7.5072
_cell_length_b 7.5072
_cell_length_c 4.4857
_cell_angle_alpha 90.00
_cell_angle_beta 90.00
_cell_angle_gamma 94.93
loop_
_space_group_symop_operation_xyz
'x,y,z'
loop_
_atom_site_label
_atom_site_type_symbol
_atom_site_fract_x
_atom_site_fract_y
_atom_site_fract_z
Pd1 Pd 0.0000 0.0000 0.0000
Br1 Br 0.2436 0.2436 0.0000
Br2 Br 0.7564 0.7564 0.0000
Cl1 Cl 0.2117 0.7883 0.0000
Cl2 Cl 0.7883 0.2117 0.0000
Rb1 Rb 0.5000 0.0000 0.5000
Rb2 Rb 0.0000 0.5000 0.5000
```

## Properties
Total DFT energy (no corrections), eV per cell: -23.12

***

[2]
## Rb2PdBr2Cl2 (PBE)

Data for a geometry-optimized Rb2PdBr2Cl2 structure.

```
data_Rb2PdBr2Cl2
_chemical_formula_sum 'Rb2 Pd1 Br2 Cl2'
_space_group_name_H-M_alt 'P 1'
_space_group_IT_number 1
_cell_length_a 4.5019
_cell_length_b 7.5162
_cell_length_c 7.5114
_cell_angle_alpha 90.00
_cell_angle_beta 90.00
_cell_angle_gamma 90.00
loop_
_space_group_symop_operation_xyz
'x,y,z'
loop_
_atom_site_label
_atom_site_type_symbol
_atom_site_fract_x
_atom_site_fract_y
_atom_site_fract_z
Br1 Br 0.0000 0.7687 0.7719
Br2 Br 0.0000 0.2313 0.7719
Pd1 Pd 0.0000 0.0000 0.0034
Cl1 Cl 0.0000 0.7792 0.2248
Cl2 Cl 0.0000 0.2208 0.2248
Rb1 Rb 0.5000 0.0000 0.4830
Rb2 Rb 0.5000 0.5000 0.0202
```

## Properties
Total DFT energy (no corrections), eV per cell: -23.11

***

[3]
## PdS2Br2Cl4 (PBE)

Data for a geometry-optimized PdS2Br2Cl4 structure.

```
data_PdS2Br2Cl4
_chemical_formula_sum 'Pd1 S2 Br2 Cl4'
_space_group_name_H-M_alt 'P 1'
_space_group_IT_number 1
_cell_length_a 4.4710
_cell_length_b 6.9226
_cell_length_c 8.4280
_cell_angle_alpha 104.25
_cell_angle_beta 98.86
_cell_angle_gamma 92.54
loop_
_space_group_symop_operation_xyz
'x,y,z'
loop_
_atom_site_label
_atom_site_type_symbol
_atom_site_fract_x
_atom_site_fract_y
_atom_site_fract_z
Cl1 Cl 0.7179 0.8535 0.1569
Cl2 Cl 0.2821 0.1465 0.8431
Cl3 Cl 0.7401 0.8218 0.5618
Cl4 Cl 0.2599 0.1782 0.4382
Pd1 Pd 0.0000 0.0000 0.0000
S1 S 0.6929 0.7703 0.7833
S2 S 0.3071 0.2297 0.2167
Br1 Br 0.0708 0.5084 0.2181
Br2 Br 0.9292 0.4916 0.7819
```

## Properties
Total DFT energy (no corrections), eV per cell: -26.15

***

Number 1: calculated volume 35.98 Å³ per atom. Number 2: calculated volume 36.31 Å³ per atom. Number 3: calculated volume 27.65 Å³ per atom.